# 1
The following is a DFT calculation (GGA-PBE) of a relaxed structure of NdScHg2.

The space group is P4/mmm (No. 123) and the conventional cell measures 3.614, 3.614 and 7.610 Å, with angles of 90.00, 90.00 and 90.00 degrees. The asymmetric unit holds Nd at (0.000, 0.000, 0.000), Sc at (0.000, 0.000, 0.500) and Hg at (0.500, 0.500, 0.283).

The value obtained for the formation energy is -1.8 eV/f.u.

=====

# 2
The following is a DFT calculation (GGA-PBE) of a relaxed structure of Nd3ScHg2.

The space group is Pmc2_1 (No. 26) and the conventional cell measures 5.271, 9.579 and 6.835 Å, with angles of 90.00, 90.00 and 90.00 degrees. The asymmetric unit holds Nd at (0.000, 0.046, 0.000), Nd at (0.000, 0.335, 0.322), Nd at (0.500, 0.184, 0.696), Sc at (0.500, 0.454, 0.029), Hg at (0.000, 0.350, 0.795) and Hg at (0.500, 0.156, 0.234).

The value obtained for the formation energy is -1.8 eV/f.u.

=====

# 3
The following is a DFT calculation (GGA-PBE) of a relaxed structure of NdSc2Hg.

The space group is P4/mmm (No. 123) and the conventional cell measures 3.465, 3.465 and 8.542 Å, with angles of 90.00, 90.00 and 90.00 degrees. The asymmetric unit holds Nd at (0.000, 0.000, 0.000), Sc at (0.500, 0.500, 0.287) and Hg at (0.000, 0.000, 0.500).

The value obtained for the formation energy is -0.8 eV/f.u.

=====

# 4
The following is a DFT calculation (GGA-PBE) of a relaxed structure of NdSc3Hg4.

The space group is P4/mmm (No. 123) and the conventional cell measures 5.042, 5.042 and 7.391 Å, with angles of 90.00, 90.00 and 90.00 degrees. The asymmetric unit holds Nd at (0.000, 0.000, 0.000), Sc at (0.000, 0.000, 0.500), Sc at (0.500, 0.500, 0.000), Sc at (0.500, 0.500, 0.500) and Hg at (0.000, 0.500, 0.271).

The value obtained for the formation energy is -3.3 eV/f.u.

=====

# 5
The following is a DFT calculation (GGA-PBE) of a relaxed structure of NdSc2Hg.

The space group is R3m (No. 160, hexagonal axes) and the conventional cell measures 3.4790, 3.4790 and 30.4506 Å, with angles of 90.00, 90.00 and 120.00 degrees. The asymmetric unit holds Nd at (0.0000, 0.0000, 0.0000), Sc at (0.0000, 0.0000, 0.2410), Sc at (0.0000, 0.0000, 0.4265) and Hg at (0.0000, 0.0000, 0.8340).

The value obtained for the formation energy is -0.4 eV/f.u.

=====

# 6
The following is a DFT calculation (GGA-PBE) of a relaxed structure of NdSc7Hg4.

The space group is C2/m (No. 12) and the conventional cell measures 13.251, 5.254 and 10.277 Å, with angles of 90.00, 124.28 and 90.00 degrees. The asymmetric unit holds Nd at (0.000, 0.000, 0.000), Sc at (0.000, 0.500, 0.000), Sc at (0.060, 0.000, 0.381), Sc at (0.187, 0.500, 0.620), Sc at (0.215, 0.000, 0.874), Hg at (0.077, 0.500, 0.788) and Hg at (0.191, 0.500, 0.330).

The value obtained for the formation energy is -0.8 eV/f.u.

=====

# 7
The following is a DFT calculation (GGA-PBE) of a relaxed structure of Nd6ScHg5.

The space group is P2/m (No. 10) and the conventional cell measures 5.375, 7.733 and 8.637 Å, with angles of 90.00, 108.07 and 90.00 degrees. The asymmetric unit holds Nd at (0.000, 0.236, 0.000), Nd at (0.330, 0.254, 0.659), Sc at (0.500, 0.500, 0.000), Hg at (0.151, 0.500, 0.302), Hg at (0.165, 0.000, 0.333) and Hg at (0.500, 0.000, 0.000).

The value obtained for the formation energy is -4.3 eV/f.u.

=====

# 8
The following is a DFT calculation (GGA-PBE) of a relaxed structure of Nd4ScHg3.

The space group is Pmmm (No. 47) and the conventional cell measures 3.765, 5.449 and 11.124 Å, with angles of 90.00, 90.00 and 90.00 degrees. The asymmetric unit holds Nd at (0.000, 0.000, 0.000), Nd at (0.000, 0.000, 0.500), Nd at (0.000, 0.500, 0.242), Sc at (0.500, 0.500, 0.500), Hg at (0.500, 0.000, 0.262) and Hg at (0.500, 0.500, 0.000).

The value obtained for the formation energy is -2.5 eV/f.u.

=====

# 9
The following is a DFT calculation (GGA-PBE) of a relaxed structure of Nd5Sc4Hg4.

The space group is I4/m (No. 87) and the conventional cell measures 12.111, 12.111 and 4.957 Å, with angles of 90.00, 90.00 and 90.00 degrees. The asymmetric unit holds Nd at (0.000, 0.000, 0.000), Nd at (0.123, 0.191, 0.500), Sc at (0.088, 0.595, 0.500) and Hg at (0.078, 0.748, 0.000).

The value obtained for the formation energy is -3.8 eV/f.u.

=====

# 10
The following is a DFT calculation (GGA-PBE) of a relaxed structure of Nd3ScHg.

The space group is C2/m (No. 12) and the conventional cell measures 22.268, 3.575 and 8.090 Å, with angles of 90.00, 105.56 and 90.00 degrees. The asymmetric unit holds Nd at (0.015, 0.000, 0.245), Nd at (0.125, 0.500, 0.039), Nd at (0.178, 0.000, 0.461), Sc at (0.238, 0.500, 0.830) and Hg at (0.085, 0.500, 0.617).

The value obtained for the formation energy is -0.4 eV/f.u.

=====

# 11
The following is a DFT calculation (GGA-PBE) of a relaxed structure of Nd4ScHg2.

The space group is R-3m (No. 166, hexagonal axes) and the conventional cell measures 5.5203, 5.5203 and 26.0485 Å, with angles of 90.00, 90.00 and 120.00 degrees. The asymmetric unit holds Nd at (0.0000, 0.0000, 0.1302), Nd at (0.0000, 0.0000, 0.2705), Sc at (0.0000, 0.0000, 0.5000) and Hg at (0.0000, 0.0000, 0.3911).

The value obtained for the formation energy is -0.4 eV/f.u.

=====

# 12
The following is a DFT calculation (GGA-PBE) of a relaxed structure of Nd3ScHg4.

The space group is P4/mmm (No. 123) and the conventional cell measures 3.700, 3.700 and 15.523 Å, with angles of 90.00, 90.00 and 90.00 degrees. The asymmetric unit holds Nd at (0.000, 0.000, 0.000), Nd at (0.000, 0.000, 0.261), Sc at (0.000, 0.000, 0.500), Hg at (0.500, 0.500, 0.130) and Hg at (0.500, 0.500, 0.396).

The value obtained for the formation energy is -3.6 eV/f.u.